(1)
The following is a meta-GGA SCAN calculation of a PBEsol-optimized structure of NpSO, from Alexandria via LeMat-Bulk.

Output
Total moment   3.00 μB/f.u.
Energy relative to the elements, uncorrected   -2.294 eV per atom

Unit cell a=3.734 b=3.734 c=6.589 alpha=90.00 beta=90.00 gamma=90.00
Space group P4/nmm (No. 129, origin choice 2)
Asymmetric unit:
Np: 0.250 0.250 0.197
S: 0.250 0.250 0.631
O: 0.250 0.750 0.000



(2)
The following is a meta-GGA SCAN calculation of a PBEsol-optimized structure of CuPd2RhPb, from Alexandria via LeMat-Bulk.

Output
Energy of formation   0.607 eV per atom
Total moment   0.00 μB/f.u.

Unit cell a=4.533 b=4.533 c=4.492 alpha=90.00 beta=90.00 gamma=90.00
Space group P4/mmm (No. 123)
Asymmetric unit:
Cu: 0.000 0.000 0.000
Pd: 0.000 0.500 0.000
Rh: 0.000 0.000 0.500
Pb: 0.500 0.500 0.500



(3)
The following is a meta-GGA SCAN calculation of a PBEsol-optimized structure of LaZr2Te, from Alexandria via LeMat-Bulk.

Output
Total moment   0.00 μB/f.u.
Energy relative to the elements, uncorrected   -0.224 eV per atom

Unit cell a=4.505 b=4.505 c=9.563 alpha=90.00 beta=90.00 gamma=90.00
Space group I-4m2 (No. 119)
Asymmetric unit:
La: 0.000 0.000 0.000
Zr: 0.000 0.000 0.500
Zr: 0.000 0.500 0.750
Te: 0.000 0.500 0.250



(4)
The following is a meta-GGA SCAN calculation of a PBEsol-optimized structure of Lu4CdPt, from Alexandria via LeMat-Bulk.

Output
Energy of formation   -0.789 eV per atom
Total moment   0.00 μB/f.u.

Unit cell a=13.164 b=13.164 c=13.164 alpha=90.00 beta=90.00 gamma=90.00
Space group F-43m (No. 216)
Asymmetric unit:
Lu: 0.000 0.000 0.186
Lu: 0.060 0.250 0.250
Lu: 0.104 0.104 0.604
Cd: 0.168 0.168 0.832
Pt: 0.106 0.106 0.394



(5)
The following is a meta-GGA SCAN calculation of a PBEsol-optimized structure of GdYRh2, from Alexandria via LeMat-Bulk.

Output
Energy of formation   -0.888 eV per atom
Total moment   7.03 μB/f.u.

Unit cell a=6.779 b=6.779 c=6.779 alpha=90.00 beta=90.00 gamma=90.00
Space group Fm-3m (No. 225)
Asymmetric unit:
Gd: 0.000 0.000 0.000
Y: 0.000 0.000 0.500
Rh: 0.250 0.250 0.250



(6)
The following is a meta-GGA SCAN calculation of a PBEsol-optimized structure of SiTe3Os, from Alexandria via LeMat-Bulk.

Output
Total moment   0.00 μB/f.u.
Energy relative to the elements, uncorrected   1.053 eV per atom

Unit cell a=5.144 b=5.144 c=5.144 alpha=90.00 beta=90.00 gamma=90.00
Space group Pm-3m (No. 221)
Asymmetric unit:
Si: 0.000 0.000 0.000
Te: 0.000 0.500 0.500
Os: 0.500 0.500 0.500